DFT (PBE-GGA) results for InOs2Cl after structural relaxation.

```
data_InOs2Cl
_space_group_name_H-M_alt 'P 1'
_space_group_IT_number 1
_space_group_name_Hall 'P 1'
_cell_length_a 4.539
_cell_length_b 4.539
_cell_length_c 3.169
_cell_angle_alpha 90.00
_cell_angle_beta 90.00
_cell_angle_gamma 90.00
loop_
_atom_site_label
_atom_site_type_symbol
_atom_site_fract_x
_atom_site_fract_y
_atom_site_fract_z
Cl1 Cl 0.500 0.000 0.500
Os1 Os 0.000 0.000 0.000
Os2 Os 0.500 0.500 0.000
In1 In 0.000 0.500 0.500
```

Total moment = 0.00 Bohr magnetons per cell
ΔE_f (raw) = 1332 meV per atom
Density = 13.5 g/cm³
Excess energy over the best structure of this formula in the dataset = 1.067 eV per atom
SG = P4/mmm
DOS(E_F) = 0.69 states/eV/atom